Here is YCrF after structural relaxation from Alexandria via LeMat-Bulk. Energies are from GGA+U.

D(E_F) = 1.6 states/eV per cell
total magnetic moment = 0.00 μB/cell
energy above the lowest structure with this stoichiometry = 0.756 eV per atom

Unit cell a=7.9884 b=7.8031 c=3.7727 alpha=78.93 beta=73.46 gamma=27.61
Positions (direct):
Y: 0.1450 0.1450 0.8550
Y: 0.8550 0.8550 0.1450
Cr: 0.3398 0.6602 0.3398
Cr: 0.6602 0.3398 0.6602
F: 0.2500 0.2500 0.2500
F: 0.7500 0.7500 0.7500